DFT (GGA-PBE) results for Mg3Sc2Hg3 after structural relaxation.

Computed properties:
Magnetic moment ... 0.00 μB per cell
DFT formation energy ... -251.0 kJ/mol of formula units
DOS(E_F) ... 3.10 states/eV per cell

POSCAR file:
```
Mg3Sc2Hg3
1.0
2.4616 1.4212 8.0791
-2.4616 1.4212 8.0791
0.0000 -2.8424 8.0791
Mg Sc Hg
3 2 3
Cartesian
0.0000 0.0000 0.0000 Mg
0.0000 0.0000 3.1015 Mg
0.0000 0.0000 12.2550 Mg
0.0000 0.0000 6.2234 Sc
0.0000 0.0000 18.0806 Sc
0.0000 0.0000 9.3251 Hg
0.0000 0.0000 15.1635 Hg
0.0000 0.0000 21.0473 Hg
```



DFT (GGA-PBE) results for MgSc2Hg after structural relaxation.

Computed properties:
Magnetic moment ... 0.77 μB per cell
DFT formation energy ... -31.6 kJ/mol of formula units
DOS(E_F) ... 5.31 states/eV per cell

POSCAR file:
```
MgSc2Hg
1.0
2.8901 -1.6711 0.0000
2.8901 1.6711 0.0000
-1.9053 0.0000 9.9199
Mg Sc Hg
1 2 1
Cartesian
0.0000 0.0000 0.0000 Mg
0.0159 0.0000 7.2989 Sc
1.9342 0.0000 2.6209 Sc
3.8647 0.0000 4.9571 Hg
```



DFT (GGA-PBE) results for Mg4Sc5Hg after structural relaxation.

Computed properties:
Magnetic moment ... 0.00 μB per cell
DFT formation energy ... -118.6 kJ/mol of formula units
DOS(E_F) ... 12.52 states/eV per cell

POSCAR file:
```
Mg4Sc5Hg
1.0
3.5949 0.0000 0.0000
0.0000 3.5949 0.0000
0.0000 0.0000 17.6838
Mg Sc Hg
4 5 1
Cartesian
0.0000 0.0000 1.7975 Mg
0.0000 0.0000 5.3402 Mg
0.0000 0.0000 12.3437 Mg
0.0000 0.0000 15.8863 Mg
1.7975 1.7975 0.0000 Sc
1.7975 1.7975 3.5952 Sc
1.7975 1.7975 7.1402 Sc
1.7975 1.7975 10.5436 Sc
1.7975 1.7975 14.0886 Sc
0.0000 0.0000 8.8419 Hg
```



DFT (GGA-PBE) results for MgScHg3 after structural relaxation.

Computed properties:
Distance to the lowest polymorph of the same formula ... 0.0 kJ/mol of atoms
Magnetic moment ... 0.00 μB per cell
DFT formation energy ... -136.8 kJ/mol of formula units
DOS(E_F) ... 2.44 states/eV per cell

POSCAR file:
```
MgScHg3
1.0
4.9082 0.0000 0.0000
0.0000 4.9038 0.0000
-2.4010 0.0000 8.9803
Mg Sc Hg
2 2 6
Cartesian
0.0197 1.2259 2.7203 Mg
2.4876 3.6778 6.2599 Mg
0.0340 1.2259 6.2163 Sc
2.4732 3.6778 2.7640 Sc
0.0101 3.6778 1.0307 Hg
0.0326 3.6778 4.4995 Hg
0.0418 3.6778 8.0382 Hg
2.4654 1.2259 0.9421 Hg
2.4747 1.2259 4.4808 Hg
2.4971 1.2259 7.9496 Hg
```



DFT (GGA-PBE) results for MgScHg3 after structural relaxation.

Computed properties:
Distance to the lowest polymorph of the same formula ... 55.7 kJ/mol of atoms
Magnetic moment ... 0.00 μB per cell
DFT formation energy ... 141.6 kJ/mol of formula units
DOS(E_F) ... 4.86 states/eV per cell

POSCAR file:
```
MgScHg3
1.0
5.1237 0.0000 0.0000
0.0000 5.1237 0.0000
0.0000 0.0000 5.1237
Mg Sc Hg
1 1 3
Cartesian
0.0000 0.0000 0.0000 Mg
2.5619 2.5619 2.5619 Sc
0.0000 0.0000 2.5619 Hg
0.0000 2.5619 0.0000 Hg
2.5619 0.0000 0.0000 Hg
```



DFT (GGA-PBE) results for MgSc2Hg after structural relaxation.

Computed properties:
Magnetic moment ... 0.00 μB per cell
DFT formation energy ... 63.3 kJ/mol of formula units
DOS(E_F) ... 4.48 states/eV per cell

POSCAR file:
```
MgSc2Hg
1.0
1.6267 0.9392 11.1026
-1.6267 0.9392 11.1026
0.0000 -1.8784 11.1026
Mg Sc Hg
1 2 1
Cartesian
0.0000 0.0000 0.0000 Mg
0.0000 0.0000 13.6331 Sc
0.0000 0.0000 19.6748 Sc
0.0000 0.0000 16.6539 Hg
```